Crystalline TmThMnFe at its relaxed geometry, computed with PBE-GGA.

Summary:
Calculated volume (Å³ per cell): 83

Lattice parameters (Å, degrees): 4.888 4.888 4.888 60.00 60.00 60.00
Fractional positions:
Tm (0.000, 0.000, 0.000)
Th (0.500, 0.500, 0.500)
Mn (0.750, 0.750, 0.750)
Fe (0.250, 0.250, 0.250)


Crystalline Ti6Mn5Fe at its relaxed geometry, computed with PBE-GGA.

Summary:
Calculated volume (Å³ per cell): 159

Lattice parameters (Å, degrees): 7.305 7.305 7.305 146.51 131.79 59.98
Fractional positions:
Ti (0.084, 0.334, 0.750)
Ti (0.249, 0.000, 0.249)
Ti (0.416, 0.666, 0.750)
Ti (0.584, 0.334, 0.250)
Ti (0.751, 0.000, 0.751)
Ti (0.916, 0.666, 0.250)
Mn (0.168, 0.168, 0.000)
Mn (0.334, 0.834, 0.500)
Mn (0.500, 0.500, 0.000)
Mn (0.666, 0.166, 0.500)
Mn (0.832, 0.832, 0.000)
Fe (0.000, 0.500, 0.500)


Number 1: ΔE_f 0.48 eV/f.u., DOS at the Fermi energy 7.3 states/eV/f.u., final energy -29.0 eV/cell. Number 2: ΔE_f -3.26 eV/f.u., DOS at the Fermi energy 12.6 states/eV/f.u., final energy -104.9 eV/cell.